TiTe4Mo, optimized geometry, DFT PBE-GGA; total moment = 0.00 μB/f.u.; symmetry = No. 12
1.0
7.3984 -1.8181 0.0000
7.3984 1.8181 0.0000
-0.8371 0.0000 6.2034
Ti Te Mo
1 4 1
Direct
0.0000 0.0000 0.0000
0.1223 0.1223 0.3716
0.3766 0.3766 0.1254
0.6234 0.6234 0.8746
0.8777 0.8777 0.6284
0.5000 0.5000 0.5000

---

Pr2TmAl12Co3, optimized geometry, DFT PBE-GGA; total moment = 0.00 μB/f.u.; symmetry = No. 166
1.0
4.2135 2.4327 6.2923
-4.2135 2.4327 6.2923
0.0000 -4.8653 6.2923
Pr Tm Al Co
2 1 12 3
Direct
0.0851 0.0851 0.0851
0.9149 0.9149 0.9149
0.5000 0.5000 0.5000
0.0310 0.6594 0.6594
0.2239 0.2239 0.5966
0.2239 0.5966 0.2239
0.3406 0.3406 0.9690
0.3406 0.9690 0.3406
0.4034 0.7761 0.7761
0.5966 0.2239 0.2239
0.6594 0.0310 0.6594
0.6594 0.6594 0.0310
0.7761 0.4034 0.7761
0.7761 0.7761 0.4034
0.9690 0.3406 0.3406
0.0000 0.5000 0.5000
0.5000 0.0000 0.5000
0.5000 0.5000 0.0000

---

Tb4SmRh, optimized geometry, DFT PBE-GGA; total moment = 0.00 μB/f.u.; symmetry = No. 11
1.0
5.5852 0.0000 0.0000
0.0000 7.5209 0.0000
-2.7989 0.0000 9.2247
Tb Sm Rh
8 2 2
Direct
0.0000 0.0000 0.0000
0.0000 0.5000 0.0000
0.2037 0.0039 0.4075
0.2037 0.4961 0.4075
0.3840 0.2500 0.7663
0.6160 0.7500 0.2337
0.7963 0.5039 0.5925
0.7963 0.9961 0.5925
0.3820 0.7500 0.7634
0.6180 0.2500 0.2366
0.1006 0.7500 0.2030
0.8994 0.2500 0.7970

---

Calculated total energy values (in eV/cell) by entry order: -33.6, -80.1, -63.3.
N(E_F) values (in states/eV/atom) by entry order: 0.761, 0.578, 1.191.